Entry 1:
VASP calculation (PBE) on an optimized crystal structure of Er7AlTl5.

Unit cell a=6.4678 b=8.2057 c=8.2057 alpha=81.64 beta=66.79 gamma=66.79
Closest atoms and distances in Å follow each position.
Atoms (fractional coordinates):
Er1 0.5330 0.8037 0.1303  5 Tl 3.17-3.32, 2 Er 3.25-3.50
Er2 0.0147 0.6772 0.2935  5 Tl 3.14-3.21, 1 Al 3.42, 1 Er 3.44
Er3 0.6048 0.3952 0.3952  1 Al 3.46, 4 Tl 3.46, 4 Er 3.69-3.70
Er4 0.2744 0.2256 0.2256  4 Tl 3.01, 2 Er 3.25
Er5 0.5330 0.1303 0.8037  5 Tl 3.17-3.32, 2 Er 3.25-3.50
Er6 0.0147 0.2935 0.6772  5 Tl 3.14-3.21, 1 Al 3.42, 1 Er 3.44
Er7 0.2216 0.7784 0.7784  1 Al 3.08, 6 Tl 3.32
Tl1 0.5251 0.4645 0.9942  6 Er 3.01-3.32, 3 Tl 3.18-3.29
Tl2 0.7904 0.7096 0.7096  6 Er 3.14-3.32, 4 Tl 3.26
Tl3 0.5251 0.9942 0.4645  6 Er 3.01-3.32, 3 Tl 3.18-3.29
Tl4 0.0162 0.4645 0.9942  6 Er 3.01-3.32, 3 Tl 3.18-3.29
Tl5 0.0162 0.9942 0.4645  6 Er 3.01-3.32, 3 Tl 3.18-3.29
Al1 0.9309 0.0691 0.0691  3 Er 3.08-3.42, 4 Tl 3.43

Output
electronic total energy = -48.57 eV per cell

Entry 2:
VASP calculation (PBE) on an optimized crystal structure of Er4Al3Tl.

Unit cell a=3.5893 b=3.5893 c=14.7611 alpha=90.00 beta=90.00 gamma=90.00
Closest atoms and distances in Å follow each position.
Atoms (fractional coordinates):
Al1 0.5000 0.5000 0.5000  8 Er 3.08
Al2 0.5000 0.5000 0.2605  8 Er 3.10-3.11
Al3 0.5000 0.5000 0.7395  8 Er 3.10-3.11
Er1 0.0000 0.0000 0.3814  8 Al 3.08-3.10
Er2 0.0000 0.0000 0.8607  4 Al 3.11, 4 Tl 3.27
Er3 0.0000 0.0000 0.6186  8 Al 3.08-3.10
Er4 0.0000 0.0000 0.1393  4 Al 3.11, 4 Tl 3.27
Tl1 0.5000 0.5000 0.0000  8 Er 3.27, 4 Tl 3.59

Output
electronic total energy = -34.83 eV per cell

Entry 3:
VASP calculation (PBE) on an optimized crystal structure of Er3AlTl2.

Unit cell a=3.5921 b=3.5921 c=11.8550 alpha=90.00 beta=90.00 gamma=90.00
Closest atoms and distances in Å follow each position.
Atoms (fractional coordinates):
Er1 0.0000 0.0000 0.6532  4 Al 3.12, 4 Tl 3.29
Er2 0.0000 0.0000 0.3468  4 Al 3.12, 4 Tl 3.29
Er3 0.0000 0.0000 0.0000  8 Tl 3.25, 4 Er 3.59
Tl1 0.5000 0.5000 0.8293  8 Er 3.25-3.29, 4 Tl 3.59
Tl2 0.5000 0.5000 0.1707  8 Er 3.25-3.29, 4 Tl 3.59
Al1 0.5000 0.5000 0.5000  8 Er 3.12

Output
electronic total energy = -24.17 eV per cell

What is the electronic total energy in the second record? -34.83 eV per cell

What did the third record say?
VASP calculation (PBE) on an optimized crystal structure of Er3AlTl2.

Unit cell a=3.5921 b=3.5921 c=11.8550 alpha=90.00 beta=90.00 gamma=90.00
Closest atoms and distances in Å follow each position.
Atoms (fractional coordinates):
Er1 0.0000 0.0000 0.6532  4 Al 3.12, 4 Tl 3.29
Er2 0.0000 0.0000 0.3468  4 Al 3.12, 4 Tl 3.29
Er3 0.0000 0.0000 0.0000  8 Tl 3.25, 4 Er 3.59
Tl1 0.5000 0.5000 0.8293  8 Er 3.25-3.29, 4 Tl 3.59
Tl2 0.5000 0.5000 0.1707  8 Er 3.25-3.29, 4 Tl 3.59
Al1 0.5000 0.5000 0.5000  8 Er 3.12

Output
electronic total energy = -24.17 eV per cell